No. 1
This record from Alexandria describes crystalline KZnSb at its relaxed geometry. The functional is PBE-GGA.

The space group is Fdd2 (No. 43) and the conventional cell measures 9.9046, 13.7840 and 12.4274 Å, with angles of 90.00, 90.00 and 90.00 degrees. The distinct sites, in fractional coordinates, are K at (0.0448, 0.3506, 0.0000), Zn at (0.0385, 0.0939, 0.0603) and Sb at (0.0373, 0.2069, 0.2355).

As for the total energy: -2.40 eV per atom. The density of states at the Fermi level comes out at 0.000 states/eV/atom. The formation energy without anion corrections comes out at -0.24 eV/atom.

No. 2
This record from Alexandria describes crystalline KZn2Sb at its relaxed geometry. The functional is PBE-GGA.

The space group is P4/mmm (No. 123) and the conventional cell measures 4.7776, 4.7776 and 4.4350 Å, with angles of 90.00, 90.00 and 90.00 degrees. The distinct sites, in fractional coordinates, are K at (0.0000, 0.0000, 0.0000), Zn at (0.0000, 0.5000, 0.5000) and Sb at (0.5000, 0.5000, 0.0000).

As for the total energy: -1.77 eV per atom. The density of states at the Fermi level comes out at 0.579 states/eV/atom. The formation energy without anion corrections comes out at 0.17 eV/atom.

No. 3
This record from Alexandria describes crystalline KZn3Sb3 at its relaxed geometry. The functional is PBE-GGA.

The space group is R-3 (No. 148, hexagonal axes) and the conventional cell measures 7.2784, 7.2784 and 27.9851 Å, with angles of 90.00, 90.00 and 120.00 degrees. The distinct sites, in fractional coordinates, are K at (0.0000, 0.0000, 0.1663), Zn at (0.0000, 0.3381, 0.3598) and Sb at (0.0009, 0.6730, 0.4043).

As for the total energy: -2.60 eV per atom. The offset from the most stable computed form comes out at 0.000 eV per atom. The density of states at the Fermi level comes out at 0.220 states/eV/atom. The formation energy without anion corrections comes out at -0.13 eV/atom.

No. 4
This record from Alexandria describes crystalline K2ZrSb at its relaxed geometry. The functional is PBE-GGA.

The space group is I4/mmm (No. 139) and the conventional cell measures 4.4300, 4.4300 and 12.4698 Å, with angles of 90.00, 90.00 and 90.00 degrees. The distinct sites, in fractional coordinates, are K at (0.0000, 0.5000, 0.2500), Zr at (0.0000, 0.0000, 0.0000) and Sb at (0.0000, 0.0000, 0.5000).

As for the total energy: -3.49 eV per atom. The density of states at the Fermi level comes out at 0.710 states/eV/atom. The formation energy without anion corrections comes out at 0.22 eV/atom.

No. 5
This record from Alexandria describes crystalline K2ZrSb at its relaxed geometry. The functional is PBE-GGA.

The space group is Cmmm (No. 65) and the conventional cell measures 4.4954, 4.6112 and 12.4494 Å, with angles of 90.00, 90.00 and 90.00 degrees. The distinct sites, in fractional coordinates, are K at (0.0000, 0.0000, 0.2223), Zr at (0.0000, 0.5000, 0.5000) and Sb at (0.0000, 0.5000, 0.0000).

As for the total energy: -3.33 eV per atom. The density of states at the Fermi level comes out at 0.865 states/eV/atom. The formation energy without anion corrections comes out at 0.39 eV/atom.

No. 6
This record from Alexandria describes crystalline K2ZrSb at its relaxed geometry. The functional is PBE-GGA.

The space group is R-3m (No. 166, hexagonal axes) and the conventional cell measures 3.4201, 3.4201 and 38.4580 Å, with angles of 90.00, 90.00 and 120.00 degrees. The distinct sites, in fractional coordinates, are K at (0.0000, 0.0000, 0.2431), Zr at (0.0000, 0.0000, 0.0000) and Sb at (0.0000, 0.0000, 0.5000).

As for the total energy: -3.27 eV per atom. The density of states at the Fermi level comes out at 1.136 states/eV/atom. The formation energy without anion corrections comes out at 0.45 eV/atom.

> Among the records above, which one has the lowest density of states at the Fermi level?

KZnSb